{"formula": "Sr2ZnGe2S6O", "functional": "GGA-PBE", "state": "relaxed", "m_tot_mub_per_fu": 0.00, "formation_energy_uncorrected_ev_per_fu": -15.15, "dos_at_fermi_per_ev_fu": 0.00, "dft_energy_ev_per_cell": -117.49, "lattice": [[-0.476, 6.591, 6.863], [3.570, -6.246, 6.247], [5.785, 1.891, -1.415]], "species": ["Sr", "Sr", "Sr", "Sr", "Zn", "Zn", "Ge", "Ge", "Ge", "Ge", "S", "S", "S", "S", "S", "S", "S", "S", "S", "S", "S", "S", "O", "O"], "fractional_positions": [[0.158, 0.342, 0.498], [0.842, 0.658, 0.498], [0.658, 0.158, 0.502], [0.342, 0.842, 0.502], [0.000, 0.000, 0.000], [0.500, 0.500, 0.000], [0.627, 0.873, 0.927], [0.373, 0.127, 0.927], [0.127, 0.627, 0.073], [0.873, 0.373, 0.073], [0.064, 0.824, 0.243], [0.936, 0.176, 0.243], [0.176, 0.064, 0.757], [0.436, 0.324, 0.757], [0.824, 0.936, 0.757], [0.564, 0.676, 0.757], [0.324, 0.564, 0.243], [0.676, 0.436, 0.243], [0.634, 0.866, 0.274], [0.366, 0.134, 0.274], [0.134, 0.634, 0.726], [0.866, 0.366, 0.726], [0.000, 0.500, 0.194], [0.500, 0.000, 0.806]]}



{"formula": "In2Ni2Sb", "functional": "GGA-PBE", "state": "relaxed", "m_tot_mub_per_fu": 0.00, "formation_energy_uncorrected_ev_per_fu": 0.81, "dos_at_fermi_per_ev_fu": 3.08, "dft_energy_ev_per_cell": -20.35, "lattice": [[-1.003, 3.187, -2.226], [0.845, -2.065, -3.337], [-5.720, -1.375, -3.011]], "species": ["Sb", "Ni", "Ni", "In", "In"], "fractional_positions": [[0.000, 0.000, 0.000], [0.400, 0.400, 0.200], [0.600, 0.600, 0.800], [0.750, 0.250, 0.500], [0.250, 0.750, 0.500]]}



{"formula": "LiNiH2W", "functional": "GGA-PBE", "state": "relaxed", "m_tot_mub_per_fu": 0.00, "dos_at_fermi_per_ev_fu": 2.88, "dft_energy_ev_per_cell": -22.61, "lattice": [[3.313, 0.000, 0.000], [0.000, 4.032, 0.000], [0.000, 0.000, 3.313]], "species": ["Ni", "H", "H", "W", "Li"], "fractional_positions": [[0.000, 0.000, 0.000], [0.000, 0.000, 0.500], [0.500, 0.000, 0.000], [0.500, 0.500, 0.500], [0.000, 0.500, 0.000]]}



{"formula": "PrTmCoNi", "functional": "GGA-PBE", "state": "relaxed", "ef_ev_per_atom": -0.160, "m_tot_mub_per_fu": 0.29, "dos_at_fermi_per_ev_fu": 3.25, "dft_energy_ev_per_cell": -22.78, "lattice": [[-2.228, -3.901, 1.744], [1.735, -2.219, 3.910], [-2.391, 0.256, 4.176]], "species": ["Pr", "Ni", "Tm", "Co"], "fractional_positions": [[0.500, 0.500, 0.500], [0.750, 0.750, 0.750], [0.000, 0.000, 0.000], [0.250, 0.250, 0.250]]}